## ZrHgB3 (PBE)

Data for ZrHgB3 after structural relaxation.

The value obtained for the energy above the most stable polymorph in this dataset is 136 meV/atom. The value obtained for the total magnetization is 0.00 μB/cell. As for the formation energy: 1.935 eV/atom. The final energy is -19.2 eV/f.u.

Geometry as POSCAR:
```
ZrHgB3
1.0
4.2850 0.0000 0.0000
0.0000 4.2850 0.0000
0.0000 0.0000 4.2850
Zr Hg B
1 1 3
Cartesian
0.0000 0.0000 0.0000
2.1425 2.1425 2.1425
0.0000 2.1425 2.1425
2.1425 0.0000 2.1425
2.1425 2.1425 0.0000
```



## ScSbAu (PBE)

Data for ScSbAu after structural relaxation.

The value obtained for the total magnetization is 0.00 μB/cell. The final energy is -15.5 eV/f.u. The calculation puts the uncorrected formation energy at -171 kJ/mol of formula units.

Geometry as POSCAR:
```
ScSbAu
1.0
4.4344 0.0000 0.0000
-2.2172 3.8403 0.0000
0.0000 0.0000 4.0047
Sc Sb Au
1 1 1
Cartesian
0.0000 0.0000 0.0000
0.0000 2.5602 2.3032
2.2172 1.2801 1.2427
```



## Ba2TlCl2 (PBE)

Data for Ba2TlCl2 after structural relaxation.

The value obtained for the energy above the most stable polymorph in this dataset is 116 meV/atom. The value obtained for the total magnetization is 0.00 μB/cell. The final energy is -16.8 eV/f.u. The calculation puts the uncorrected formation energy at -660 kJ/mol of formula units.

Geometry as POSCAR:
```
Ba2TlCl2
1.0
9.2725 0.0000 0.0000
0.0000 9.2725 0.0000
0.0000 0.0000 3.8676
Ba Tl Cl
4 2 4
Cartesian
1.6857 2.9505 0.0000
2.9505 7.5868 0.0000
6.3219 1.6857 0.0000
7.5868 6.3219 0.0000
0.0000 0.0000 1.9338
4.6362 4.6362 1.9338
1.1271 5.7634 1.9338
3.5091 1.1271 1.9338
5.7634 8.1453 1.9338
8.1453 3.5091 1.9338
```



> Look up the total magnetization of the first one.

0.00 μB/cell